The following is a GGA-PBE calculation of a relaxed LuThPb crystal, from the Alexandria database.

Computed properties:
E_tot: -5.264 eV/atom
Calculated density: 11.23 Mg/m³
V: 91 Å³ per cell
Energy above the lowest structure with this stoichiometry: 0 meV per atom
Energy of formation from the pure elements: -0.05 eV/atom

a b c (Å): 5.3829 5.3829 3.6206
angles (deg): 90.00 90.00 120.00
Closest atoms and distances in Å follow each position.
Space group P3m1 (No. 156)
Unique sites:
Lu (0.0000, 0.0000, 0.0000) (multiplicity 1)  3 Pb 3.16
Th (0.6667, 0.3333, 0.4776) (multiplicity 1)  3 Pb 3.38, 6 Lu 3.56-3.64, 2 Th 3.62
Pb (0.3333, 0.6667, 0.8443) (multiplicity 1)  3 Lu 3.16, 3 Th 3.38